1.
The following is a DFT calculation (PBE) of an optimized crystal structure of CdAuSe3.

Cell: 5.1138 5.1138 5.1138 Å, 90.00 90.00 90.00°
Element x y z (fractional)
1 Au 0.0000 0.0000 0.0000
2 Se 0.0000 0.5000 0.0000
3 Se 0.0000 0.0000 0.5000
4 Se 0.5000 0.0000 0.0000
5 Cd 0.5000 0.5000 0.5000

Values from the calculation:
energy above the lowest structure with this stoichiometry = 0.000 eV per atom
E_form (uncorrected) = 0.463 eV/atom
spin magnetization = 0.0 Bohr magnetons per cell
VASP energy = -2.466 eV/atom
space group = Pm-3m, No. 221

***

2.
The following is a DFT calculation (PBE) of an optimized crystal structure of BaNa2PuCl8.

Cell: 6.5936 6.6093 8.9988 Å, 90.00 90.00 89.85°
Site moments in Bohr magnetons follow the coordinates.
Element x y z (fractional)
1 Ba 0.0000 0.0000 0.5000  0.00
2 Na 0.5000 0.5000 0.7341  0.00
3 Na 0.5000 0.5000 0.2659  0.00
4 Pu 0.0000 0.0000 0.0000  4.36
5 Cl 0.1729 0.7858 0.2109  -0.05
6 Cl 0.7013 0.7478 0.0000  -0.07
7 Cl 0.8272 0.2143 0.2109  -0.05
8 Cl 0.8271 0.2142 0.7891  -0.05
9 Cl 0.2987 0.2522 0.0000  -0.07
10 Cl 0.1728 0.7857 0.7891  -0.05
11 Cl 0.6565 0.7114 0.5000  0.00
12 Cl 0.3435 0.2886 0.5000  0.00

Values from the calculation:
E_form (uncorrected) = -1.894 eV/atom
spin magnetization = 4.0 Bohr magnetons per cell
VASP energy = -4.700 eV/atom
space group = P2/m, No. 10